No. 1
A relaxed Er3B2Ir7 crystal, computed with PBE.

Results
- Calculated formation energy: -743 meV/atom

Cell: 8.137 8.137 8.137 Å, 38.75 38.75 38.75°
Fractional positions:
Er: 0.000 0.000 0.000
Er: 0.144 0.144 0.144
Er: 0.856 0.856 0.856
B: 0.336 0.336 0.336
B: 0.664 0.664 0.664
Ir: 0.069 0.570 0.570
Ir: 0.430 0.430 0.931
Ir: 0.430 0.931 0.430
Ir: 0.500 0.500 0.500
Ir: 0.570 0.069 0.570
Ir: 0.570 0.570 0.069
Ir: 0.931 0.430 0.430

No. 2
A relaxed Pm4NdIn2 crystal, computed with PBE.

Results
- Calculated formation energy: -232 meV/atom

Cell: 5.506 12.480 6.518 Å, 90.00 90.04 90.00°
Fractional positions:
Pm: 0.005 0.168 0.351
Pm: 0.005 0.332 0.851
Pm: 0.493 0.663 0.494
Pm: 0.493 0.837 0.994
Pm: 0.507 0.163 0.006
Pm: 0.507 0.337 0.506
Pm: 0.995 0.668 0.149
Pm: 0.995 0.832 0.649
Nd: 0.500 0.000 0.500
Nd: 0.500 0.500 0.000
In: 0.007 0.071 0.814
In: 0.007 0.429 0.314
In: 0.993 0.571 0.686
In: 0.993 0.929 0.186

No. 3
A relaxed ZnPtBr3 crystal, computed with PBE.

Results
- Formation energy without anion corrections: 0.09 eV/atom

Cell: 5.159 5.159 5.159 Å, 90.00 90.00 90.00°
Fractional positions:
Zn: 0.000 0.000 0.000
Pt: 0.500 0.500 0.500
Br: 0.000 0.500 0.500
Br: 0.500 0.000 0.500
Br: 0.500 0.500 0.000

No. 4
A relaxed MgPaIrPd crystal, computed with PBE.

Results
- Calculated formation energy: -600 meV/atom

Cell: 4.768 4.768 4.768 Å, 60.00 60.00 60.00°
Fractional positions:
Mg: 0.000 0.000 0.000
Pa: 0.500 0.500 0.500
Ir: 0.750 0.750 0.750
Pd: 0.250 0.250 0.250

No. 5
A relaxed Pu3InRh2 crystal, computed with PBE.

Results
- Calculated formation energy: -257 meV/atom

Cell: 6.439 6.439 4.316 Å, 90.00 90.00 137.51°
Fractional positions:
Pu: 0.000 0.000 0.000
Pu: 0.180 0.820 0.500
Pu: 0.820 0.180 0.500
In: 0.500 0.500 0.500
Rh: 0.339 0.661 0.000
Rh: 0.661 0.339 0.000

No. 6
A relaxed Ba2TlPb crystal, computed with PBE.

Results
- Calculated formation energy: -222 meV/atom

Cell: 6.066 6.066 6.066 Å, 60.00 60.00 60.00°
Fractional positions:
Ba: 0.000 0.000 0.000
Ba: 0.250 0.250 0.250
Tl: 0.750 0.750 0.750
Pb: 0.500 0.500 0.500

Q: What is the formula in the fifth record?
A: Pu3InRh2